A relaxed Ac2TiNi3Pt12 crystal, computed with GGA-PBE.

The structure in extended XYZ format:
```
18
Lattice="8.1415 0.0992 0.0703 4.1069 7.0304 0.0703 4.1069 2.3906 6.6119" Properties=species:S:1:pos:R:3 pbc="T T T"
Ac 10.1703 5.9199 4.1990
Ac 6.1850 3.6002 2.5536
Ti 0.0000 0.0000 0.0000
Ni 4.0707 0.0496 0.0352
Ni 2.0535 3.5152 0.0352
Ni 2.0535 1.1953 3.3059
Pt 8.1103 4.7209 5.8456
Pt 12.3186 7.1705 2.6077
Pt 10.2848 8.3255 5.9052
Pt 10.1596 3.5570 2.5229
Pt 12.3186 4.8315 5.9052
Pt 8.1103 7.0776 2.5229
Pt 8.2450 4.7993 0.9069
Pt 4.0367 2.3497 4.1448
Pt 6.0704 1.1946 0.8473
Pt 6.1957 5.9632 4.2296
Pt 4.0367 4.6886 0.8473
Pt 8.2450 2.4425 4.2296
```

Results
DOS at the Fermi energy in states/eV/cell: 16.75
DFT formation energy in eV per formula unit: -2.309
Final energy in eV/cell: -108.254
M_tot in μB/cell: 2.799
Crystal system: trigonal



A relaxed AcTmNiPt crystal, computed with GGA-PBE.

The structure in extended XYZ format:
```
4
Lattice="-3.2121 -3.9252 -0.0448 0.9755 -4.1075 2.8114 -2.8310 -1.0071 4.0863" Properties=species:S:1:pos:R:3 pbc="T T T"
Ni -1.2669 -2.2599 1.7132
Ac -2.5338 -4.5199 3.4265
Tm 0.0000 0.0000 0.0000
Pt -3.8008 -6.7798 5.1397
```

Results
DOS at the Fermi energy in states/eV/cell: 3.49
DFT formation energy in eV per formula unit: -2.474
Final energy in eV/cell: -22.876
M_tot in μB/cell: 0.000
Crystal system: cubic



A relaxed Ac2UNi3Pt12 crystal, computed with GGA-PBE.

The structure in extended XYZ format:
```
18
Lattice="-5.7079 -3.2479 -5.0960 1.8744 -5.8286 -5.6224 -2.6245 -7.8554 0.7085" Properties=species:S:1:pos:R:3 pbc="T T T"
Ac -3.9836 -10.4443 -6.1745
Ac -2.4745 -6.4876 -3.8354
U 0.0000 0.0000 0.0000
Ni -2.8540 -1.6239 -2.5480
Ni 0.9372 -2.9143 -2.8112
Ni -1.3123 -3.9277 0.3543
Pt -3.6937 -10.1748 -3.3195
Pt -4.3870 -11.0306 -9.1097
Pt -2.8958 -13.2589 -6.3026
Pt -5.2465 -7.8544 -6.2428
Pt -6.5627 -12.0108 -6.0479
Pt -1.4279 -9.1541 -6.5079
Pt -2.7645 -6.7571 -6.6903
Pt -2.0711 -5.9013 -0.9002
Pt -3.5623 -3.6730 -3.7073
Pt -1.2116 -9.0776 -3.7671
Pt 0.1046 -4.9211 -3.9619
Pt -5.0302 -7.7779 -3.5019
```

Results
DOS at the Fermi energy in states/eV/cell: 17.06
DFT formation energy in eV per formula unit: -2.782
Final energy in eV/cell: -112.121
M_tot in μB/cell: 1.150
Crystal system: trigonal



A relaxed AcZnNiPt3 crystal, computed with GGA-PBE.

The structure in extended XYZ format:
```
12
Lattice="-5.4675 -1.7674 0.5307 1.8663 -6.2103 -1.4547 -0.0054 2.0041 6.6181" Properties=species:S:1:pos:R:3 pbc="T T T"
Ac -3.5822 -1.9408 3.6898
Ac -0.0244 -4.0328 2.0044
Zn -0.6933 -1.2413 4.4097
Zn -2.9134 -4.7323 1.2844
Ni 0.4024 -4.5393 4.7146
Ni -4.0091 -1.4342 0.9795
Pt -1.0728 -0.7909 2.0001
Pt 0.5459 -1.8165 -0.4255
Pt -1.4134 -5.2775 -0.7638
Pt -2.1879 -2.7002 -0.1601
Pt 1.3204 -4.3938 -1.0292
Pt -2.5339 -5.1827 3.6940
```

Results
DOS at the Fermi energy in states/eV/cell: 8.21
DFT formation energy in eV per formula unit: -2.911
Final energy in eV/cell: -64.393
M_tot in μB/cell: 0.000
Crystal system: orthorhombic



A relaxed AcZn3NiPt crystal, computed with GGA-PBE.

The structure in extended XYZ format:
```
12
Lattice="-1.5106 -1.6901 5.2546 -0.3708 -5.9802 -2.0301 6.2975 2.1106 2.4893" Properties=species:S:1:pos:R:3 pbc="T T T"
Ac 2.1334 -1.7375 4.7288
Ac 2.2827 -3.8221 0.9850
Zn 1.3316 -0.6685 1.7259
Zn -0.1095 -1.7662 -0.5996
Zn -1.0166 -5.0590 1.1968
Zn -0.8648 -2.6113 2.0277
Zn -0.2613 -4.2140 -1.4305
Zn 3.0844 -4.8912 3.9879
Ni 4.9657 -4.2081 1.6322
Ni -0.5496 -1.3515 4.0816
Pt 3.8418 -1.0296 2.3314
Pt 0.5743 -4.5300 3.3824
```

Results
DOS at the Fermi energy in states/eV/cell: 6.66
DFT formation energy in eV per formula unit: -2.395
Final energy in eV/cell: -44.294
M_tot in μB/cell: 0.000
Crystal system: orthorhombic



A relaxed AcZn2NiPt crystal, computed with GGA-PBE.

The structure in extended XYZ format:
```
5
Lattice="4.3366 0.0000 0.0000 0.0000 4.1160 0.0000 -2.1683 -2.0580 5.4448" Properties=species:S:1:pos:R:3 pbc="T T T"
Ac 0.0000 0.0000 4.6855
Zn 2.1683 0.0000 2.1006
Zn 0.0000 0.0000 0.6190
Ni 2.1683 2.0580 3.6010
Pt 0.0000 2.0580 2.1936
```

Results
DOS at the Fermi energy in states/eV/cell: 2.35
DFT formation energy in eV per formula unit: -2.398
Final energy in eV/cell: -20.876
M_tot in μB/cell: 0.000
Crystal system: orthorhombic



A relaxed Ac2Zn6NiPt crystal, computed with GGA-PBE.

The structure in extended XYZ format:
```
10
Lattice="6.7599 0.0002 0.0059 0.0001 6.7604 0.0059 3.3843 3.3846 4.7794" Properties=species:S:1:pos:R:3 pbc="T T T"
Ac 6.7619 3.3827 2.3950
Ac 3.3824 6.7626 2.3962
Zn 3.3816 3.3820 2.4719
Zn 8.5103 8.5114 4.7880
Zn 1.6345 5.1272 0.0059
Zn 8.5098 5.0180 4.7853
Zn 1.6341 1.6338 0.0033
Zn 6.7627 6.7633 2.3193
Ni 0.0000 0.0000 0.0000
Pt 3.3800 3.3803 0.0059
```

Results
DOS at the Fermi energy in states/eV/cell: 8.04
DFT formation energy in eV per formula unit: -3.376
Final energy in eV/cell: -31.059
M_tot in μB/cell: 0.001
Crystal system: monoclinic



A relaxed AcPuNi2 crystal, computed with GGA-PBE.

The structure in extended XYZ format:
```
4
Lattice="-3.4738 1.5589 0.1486 -2.6426 -1.4536 2.3289 0.5602 5.2361 7.0211" Properties=species:S:1:pos:R:3 pbc="T T T"
Ni -0.3010 3.5128 4.9684
Ni -5.2553 1.8287 4.5302
Ac 0.0000 0.0000 0.0000
Pu -2.7781 2.6708 4.7493
```

Results
DOS at the Fermi energy in states/eV/cell: 11.35
DFT formation energy in eV per formula unit: 2.112
Energy relative to the lowest polymorph listed for this composition in meV/atom: 573
Final energy in eV/cell: -27.891
M_tot in μB/cell: 5.123
Crystal system: trigonal